# CaTl2As2 | Alexandria | PBE-GGA | relaxed
data_CaTl2As2
_space_group_name_H-M_alt 'I 4/m m m'
_space_group_IT_number 139
_space_group_name_Hall '-I 4 2'
_cell_length_a 4.0528
_cell_length_b 4.0528
_cell_length_c 16.7561
_cell_angle_alpha 90.00
_cell_angle_beta 90.00
_cell_angle_gamma 90.00
loop_
_atom_site_label
_atom_site_type_symbol
_atom_site_fract_x
_atom_site_fract_y
_atom_site_fract_z
Ca1 Ca 0.0000 0.0000 0.0000
Tl1 Tl 0.0000 0.0000 0.3905
As1 As 0.0000 0.5000 0.2500
# Energy   -32.19 eV/cell
# Magnetic moment   0.00 Bohr magnetons per cell
# Calculated density   7.2 Mg/m³
# ΔE_f   -12 meV per atom


# Ca2Tl2As | Alexandria | PBE-GGA | relaxed
data_Ca2Tl2As
_space_group_name_H-M_alt 'I 4/m m m'
_space_group_IT_number 139
_space_group_name_Hall '-I 4 2'
_cell_length_a 5.0660
_cell_length_b 5.0660
_cell_length_c 12.7632
_cell_angle_alpha 90.00
_cell_angle_beta 90.00
_cell_angle_gamma 90.00
loop_
_atom_site_label
_atom_site_type_symbol
_atom_site_fract_x
_atom_site_fract_y
_atom_site_fract_z
Ca1 Ca 0.0000 0.5000 0.2500
Tl1 Tl 0.0000 0.0000 0.1054
As1 As 0.0000 0.0000 0.5000
# Energy above the lowest structure with this stoichiometry   531 meV/atom
# Energy   -25.15 eV/cell
# Magnetic moment   0.00 Bohr magnetons per cell
# Calculated density   5.7 Mg/m³
# ΔE_f   162 meV per atom


# CaTl2As | Alexandria | PBE-GGA | relaxed
data_CaTl2As
_space_group_name_H-M_alt 'I -4 2 d'
_space_group_IT_number 122
_space_group_name_Hall 'I -4 2bw'
_cell_length_a 8.6574
_cell_length_b 8.6574
_cell_length_c 6.1357
_cell_angle_alpha 90.00
_cell_angle_beta 90.00
_cell_angle_gamma 90.00
loop_
_atom_site_label
_atom_site_type_symbol
_atom_site_fract_x
_atom_site_fract_y
_atom_site_fract_z
Ca1 Ca 0.0000 0.0000 0.0000
Tl1 Tl 0.2104 0.7500 0.6250
As1 As 0.0000 0.0000 0.5000
# Energy above the lowest structure with this stoichiometry   105 meV/atom
# Energy   -50.56 eV/cell
# Magnetic moment   0.00 Bohr magnetons per cell
# Calculated density   7.6 Mg/m³
# ΔE_f   -314 meV per atom


# CaTl2As | Alexandria | PBE-GGA | relaxed
data_CaTl2As
_space_group_name_H-M_alt 'R -3 m'
_space_group_IT_number 166
_space_group_name_Hall '-R 3 2"'
_cell_length_a 4.2767
_cell_length_b 4.2767
_cell_length_c 22.6489
_cell_angle_alpha 90.00
_cell_angle_beta 90.00
_cell_angle_gamma 120.00
loop_
_atom_site_label
_atom_site_type_symbol
_atom_site_fract_x
_atom_site_fract_y
_atom_site_fract_z
Ca1 Ca 0.0000 0.0000 0.0000
Tl1 Tl 0.0000 0.0000 0.2368
As1 As 0.0000 0.0000 0.5000
# Energy above the lowest structure with this stoichiometry   318 meV/atom
# Energy   -35.38 eV/cell
# Magnetic moment   0.00 Bohr magnetons per cell
# Calculated density   7.3 Mg/m³
# ΔE_f   -102 meV per atom


# CaTl2As | Alexandria | PBE-GGA | relaxed
data_CaTl2As
_space_group_name_H-M_alt 'F m -3 m'
_space_group_IT_number 225
_space_group_name_Hall '-F 4 2 3'
_cell_length_a 7.5919
_cell_length_b 7.5919
_cell_length_c 7.5919
_cell_angle_alpha 90.00
_cell_angle_beta 90.00
_cell_angle_gamma 90.00
loop_
_atom_site_label
_atom_site_type_symbol
_atom_site_fract_x
_atom_site_fract_y
_atom_site_fract_z
Ca1 Ca 0.0000 0.0000 0.0000
Tl1 Tl 0.2500 0.2500 0.2500
As1 As 0.0000 0.0000 0.5000
# Energy above the lowest structure with this stoichiometry   265 meV/atom
# Energy   -48.01 eV/cell
# Magnetic moment   0.00 Bohr magnetons per cell
# Calculated density   8.0 Mg/m³
# ΔE_f   -155 meV per atom


# Ca8Tl2As | Alexandria | PBE-GGA | relaxed
data_Ca8Tl2As
_space_group_name_H-M_alt 'C 1 2/m 1'
_space_group_IT_number 12
_cell_length_a 19.2973
_cell_length_b 5.4739
_cell_length_c 7.2328
_cell_angle_alpha 90.00
_cell_angle_beta 112.00
_cell_angle_gamma 90.00
loop_
_space_group_symop_operation_xyz
'x,y,z'
'-x,-y,-z'
'-x,y,-z'
'x,-y,z'
'x+1/2,y+1/2,z'
'-x+1/2,-y+1/2,-z'
'-x+1/2,y+1/2,-z'
'x+1/2,-y+1/2,z'
loop_
_atom_site_label
_atom_site_type_symbol
_atom_site_fract_x
_atom_site_fract_y
_atom_site_fract_z
Ca1 Ca 0.9999 0.0000 0.2478
Ca2 Ca 0.1257 0.5000 0.3871
Ca3 Ca 0.1261 0.5000 0.8653
Ca4 Ca 0.2066 0.0000 0.2074
Tl1 Tl 0.1773 0.0000 0.6773
As1 As 0.0000 0.5000 0.0000
# Energy   -58.66 eV/cell
# Magnetic moment   0.00 Bohr magnetons per cell
# Calculated density   3.8 Mg/m³
# ΔE_f   -358 meV per atom


# CaTl2As | Alexandria | PBE-GGA | relaxed
data_CaTl2As
_space_group_name_H-M_alt 'C 1 m 1'
_space_group_IT_number 8
_cell_length_a 10.2929
_cell_length_b 4.1507
_cell_length_c 5.9275
_cell_angle_alpha 90.00
_cell_angle_beta 113.46
_cell_angle_gamma 90.00
loop_
_space_group_symop_operation_xyz
'x,y,z'
'x,-y,z'
'x+1/2,y+1/2,z'
'x+1/2,-y+1/2,z'
loop_
_atom_site_label
_atom_site_type_symbol
_atom_site_fract_x
_atom_site_fract_y
_atom_site_fract_z
Ca1 Ca 0.0000 0.0000 0.0000
Tl1 Tl 0.0893 0.5000 0.6076
Tl2 Tl 0.3107 0.5000 0.3742
As1 As 0.2952 0.0000 0.0156
# Energy above the lowest structure with this stoichiometry   58 meV/atom
# Energy   -25.66 eV/cell
# Magnetic moment   0.00 Bohr magnetons per cell
# Calculated density   7.5 Mg/m³
# ΔE_f   -362 meV per atom


# CaTl3As | Alexandria | PBE-GGA | relaxed
data_CaTl3As
_space_group_name_H-M_alt 'P m -3 m'
_space_group_IT_number 221
_space_group_name_Hall '-P 4 2 3'
_cell_length_a 5.5837
_cell_length_b 5.5837
_cell_length_c 5.5837
_cell_angle_alpha 90.00
_cell_angle_beta 90.00
_cell_angle_gamma 90.00
loop_
_atom_site_label
_atom_site_type_symbol
_atom_site_fract_x
_atom_site_fract_y
_atom_site_fract_z
Ca1 Ca 0.0000 0.0000 0.0000
Tl1 Tl 0.0000 0.5000 0.5000
As1 As 0.5000 0.5000 0.5000
# Energy above the lowest structure with this stoichiometry   0 meV/atom
# Energy   -12.82 eV/cell
# Magnetic moment   0.00 Bohr magnetons per cell
# Calculated density   6.9 Mg/m³
# ΔE_f   186 meV per atom


# CaTl2As2 | Alexandria | PBE-GGA | relaxed
data_CaTl2As2
_space_group_name_H-M_alt 'I 4/m m m'
_space_group_IT_number 139
_space_group_name_Hall '-I 4 2'
_cell_length_a 4.3307
_cell_length_b 4.3307
_cell_length_c 15.0156
_cell_angle_alpha 90.00
_cell_angle_beta 90.00
_cell_angle_gamma 90.00
loop_
_atom_site_label
_atom_site_type_symbol
_atom_site_fract_x
_atom_site_fract_y
_atom_site_fract_z
Ca1 Ca 0.0000 0.0000 0.0000
Tl1 Tl 0.0000 0.5000 0.2500
As1 As 0.0000 0.0000 0.4189
# Energy   -34.99 eV/cell
# Magnetic moment   0.00 Bohr magnetons per cell
# Calculated density   7.1 Mg/m³
# ΔE_f   -292 meV per atom


# CaTl2As | Alexandria | PBE-GGA | relaxed
data_CaTl2As
_space_group_name_H-M_alt 'P 1 m 1'
_space_group_IT_number 6
_cell_length_a 4.3952
_cell_length_b 4.1066
_cell_length_c 6.7960
_cell_angle_alpha 90.00
_cell_angle_beta 108.85
_cell_angle_gamma 90.00
loop_
_space_group_symop_operation_xyz
'x,y,z'
'x,-y,z'
loop_
_atom_site_label
_atom_site_type_symbol
_atom_site_fract_x
_atom_site_fract_y
_atom_site_fract_z
Ca1 Ca 0.0000 0.0000 0.0000
Tl1 Tl 0.3115 0.5000 0.6258
Tl2 Tl 0.7130 0.0000 0.4288
As1 As 0.5411 0.5000 0.0811
# Energy above the lowest structure with this stoichiometry   0 meV/atom
# Energy   -13.06 eV/cell
# Magnetic moment   0.00 Bohr magnetons per cell
# Calculated density   7.5 Mg/m³
# ΔE_f   -420 meV per atom


# CaTlAs3 | Alexandria | PBE-GGA | relaxed
data_CaTlAs3
_space_group_name_H-M_alt 'P m -3 m'
_space_group_IT_number 221
_space_group_name_Hall '-P 4 2 3'
_cell_length_a 5.3317
_cell_length_b 5.3317
_cell_length_c 5.3317
_cell_angle_alpha 90.00
_cell_angle_beta 90.00
_cell_angle_gamma 90.00
loop_
_atom_site_label
_atom_site_type_symbol
_atom_site_fract_x
_atom_site_fract_y
_atom_site_fract_z
Ca1 Ca 0.0000 0.0000 0.0000
Tl1 Tl 0.5000 0.5000 0.5000
As1 As 0.0000 0.5000 0.5000
# Energy above the lowest structure with this stoichiometry   0 meV/atom
# Energy   -15.99 eV/cell
# Magnetic moment   0.00 Bohr magnetons per cell
# Calculated density   5.1 Mg/m³
# ΔE_f   466 meV per atom


# CaTl2As | Alexandria | PBE-GGA | relaxed
data_CaTl2As
_space_group_name_H-M_alt 'F -4 3 m'
_space_group_IT_number 216
_space_group_name_Hall 'F -4 2 3'
_cell_length_a 7.5894
_cell_length_b 7.5894
_cell_length_c 7.5894
_cell_angle_alpha 90.00
_cell_angle_beta 90.00
_cell_angle_gamma 90.00
loop_
_atom_site_label
_atom_site_type_symbol
_atom_site_fract_x
_atom_site_fract_y
_atom_site_fract_z
Ca1 Ca 0.0000 0.0000 0.0000
Tl1 Tl 0.0000 0.0000 0.5000
Tl2 Tl 0.2500 0.2500 0.2500
As1 As 0.2500 0.2500 0.7500
# Energy above the lowest structure with this stoichiometry   175 meV/atom
# Energy   -49.45 eV/cell
# Magnetic moment   0.00 Bohr magnetons per cell
# Calculated density   8.0 Mg/m³
# ΔE_f   -244 meV per atom


Question: What is the energy in the fifth record?
Answer: -48.01 eV/cell


Question: Which of these has the lowest ΔE_f?
Answer: number 10